! PBE Sr2TcPt, relaxed; values from VASP
! E_form = -28.8 kJ/mol of formula units
! Space-group type = No. 160
! Magnetization = 2.308 μB per cell
! Density of states at the Fermi level = 0.856 states/eV/atom
&SYSTEM
  ibrav = 0, nat = 4, ntyp = 3
/
ATOMIC_SPECIES
Pt 195.08 Pt.upf
Sr 87.62 Sr.upf
Tc 98.00 Tc.upf
ATOMIC_POSITIONS crystal
Pt 0.7921 0.7921 0.7921
Sr 0.2104 0.2104 0.2104
Tc 0.4579 0.4579 0.4579
Sr 0.0396 0.0396 0.0396
CELL_PARAMETERS angstrom
-1.5060 -8.1306 -1.7337
2.4348 -7.2823 -3.5243
2.1117 -8.1424 0.7898